## LiCdN2 (PBE)

Data for an optimized crystal structure of LiCdN2.

a = 3.7255 Å, b = 3.7255 Å, c = 12.9355 Å
α = 90.00°, β = 90.00°, γ = 90.00°
Fractional positions:
Li 0.0000 0.0000 0.0000
Li 0.0000 0.5000 0.2500
Li 0.5000 0.0000 0.7500
Li 0.5000 0.5000 0.5000
Cd 0.0000 0.0000 0.5000
Cd 0.0000 0.5000 0.7500
Cd 0.5000 0.0000 0.2500
Cd 0.5000 0.5000 0.0000
N 0.1153 0.2500 0.1250
N 0.2500 0.6153 0.3750
N 0.2500 0.8847 0.8750
N 0.3847 0.2500 0.6250
N 0.6153 0.7500 0.6250
N 0.7500 0.1153 0.8750
N 0.7500 0.3847 0.3750
N 0.8847 0.7500 0.1250

energy relative to the elements, uncorrected: 354 kJ/mol of formula units
space-group type: I-42d (122)
E: -3.953 eV/atom
magnetic moment: 0.0 μB/cell


## LiCdNi2N (PBE)

Data for an optimized crystal structure of LiCdNi2N.

a = 3.7956 Å, b = 3.7956 Å, c = 4.0555 Å
α = 90.00°, β = 90.00°, γ = 90.00°
Fractional positions:
Li 0.0000 0.0000 0.0000
Cd 0.5000 0.5000 0.0000
Ni 0.0000 0.5000 0.5000
Ni 0.5000 0.0000 0.5000
N 0.0000 0.0000 0.5000

energy relative to the elements, uncorrected: -76 kJ/mol of formula units
space-group type: P4/mmm (123)
E: -4.702 eV/atom
magnetic moment: 0.0 μB/cell